## A
Below is a geometry-optimized RbNaTl structure, with properties calculated at the GGA-PBE level.

- space group = P3m1

abc: 4.176 5.903 5.903
angles: 120.00 90.00 90.00
Atoms (fractional coordinates):
1 Na 0.169 0.333 0.667
2 Tl 0.164 0.000 0.000
3 Rb 0.667 0.667 0.333

=====

## B
Below is a geometry-optimized RbNaTl structure, with properties calculated at the GGA-PBE level.

- space group = P-1

abc: 4.591 8.644 7.015
angles: 72.08 71.07 90.00
Atoms (fractional coordinates):
1 Na 0.358 0.455 0.285
2 Na 0.642 0.545 0.715
3 Tl 0.981 0.302 0.039
4 Tl 0.019 0.698 0.961
5 Rb 0.651 0.100 0.699
6 Rb 0.349 0.900 0.301

=====

## C
Below is a geometry-optimized RbNaTl structure, with properties calculated at the GGA-PBE level.

- space group = I4mm

abc: 4.326 4.326 7.433
angles: 106.92 106.92 90.00
Atoms (fractional coordinates):
1 Na 0.324 0.324 0.647
2 Tl 0.919 0.919 0.838
3 Rb 0.607 0.607 0.214

=====

## D
Below is a geometry-optimized RbNaTl structure, with properties calculated at the GGA-PBE level.

- space group = C2/m

abc: 5.596 7.521 6.817
angles: 95.34 90.00 111.84
Atoms (fractional coordinates):
1 Rb 0.500 0.000 0.500
2 Rb 0.000 0.000 0.000
3 Na 0.772 0.544 0.368
4 Na 0.228 0.456 0.632
5 Tl 0.725 0.449 0.885
6 Tl 0.275 0.551 0.115

=====

The least stable of them is A.

=====

## A
Below is a geometry-optimized RbNa2Tl structure, with properties calculated at the GGA-PBE level.

- space group = R-3m

abc: 7.238 7.238 11.670
angles: 71.93 71.93 60.00
Atoms (fractional coordinates):
1 Rb 0.855 0.855 0.434
2 Rb 0.145 0.145 0.566
3 Rb 0.000 0.000 0.000
4 Na 0.426 0.426 0.235
5 Na 0.913 0.426 0.235
6 Na 0.426 0.913 0.235
7 Na 0.574 0.574 0.765
8 Na 0.574 0.087 0.765
9 Na 0.087 0.574 0.765
10 Tl 0.668 0.668 0.996
11 Tl 0.332 0.332 0.004
12 Tl 0.500 0.500 0.500

=====

## B
Below is a geometry-optimized RbNa2Tl structure, with properties calculated at the GGA-PBE level.

- space group = P2_1/c

abc: 7.263 12.328 9.260
angles: 127.51 90.00 90.00
Atoms (fractional coordinates):
1 Rb 0.425 0.114 0.404
2 Rb 0.925 0.386 0.596
3 Rb 0.575 0.886 0.596
4 Rb 0.075 0.614 0.404
5 Na 0.823 0.123 0.096
6 Na 0.323 0.377 0.904
7 Na 0.177 0.877 0.904
8 Na 0.677 0.623 0.096
9 Na 0.701 0.787 0.919
10 Na 0.201 0.713 0.081
11 Na 0.299 0.213 0.081
12 Na 0.799 0.287 0.919
13 Tl 0.583 0.465 0.319
14 Tl 0.083 0.035 0.681
15 Tl 0.417 0.535 0.681
16 Tl 0.917 0.965 0.319

=====

The least stable of them is B.

=====

## A
Below is a geometry-optimized RbNa2Tl structure, with properties calculated at the GGA-PBE level.

- space group = R-3m

abc: 5.659 5.659 6.950
angles: 65.98 65.98 60.00
Atoms (fractional coordinates):
1 Na 0.289 0.289 0.134
2 Na 0.711 0.711 0.866
3 Tl 0.000 0.000 0.000
4 Rb 0.500 0.500 0.500

=====

## B
Below is a geometry-optimized RbNa2Tl structure, with properties calculated at the GGA-PBE level.

- space group = I-42d

abc: 5.365 5.365 12.700
angles: 77.81 77.81 90.00
Atoms (fractional coordinates):
1 Na 0.692 0.125 0.250
2 Na 0.058 0.625 0.250
3 Na 0.375 0.308 0.750
4 Na 0.875 0.942 0.750
5 Tl 0.000 0.000 0.000
6 Tl 0.750 0.250 0.500
7 Rb 0.500 0.500 0.000
8 Rb 0.250 0.750 0.500

=====

## C
Below is a geometry-optimized RbNa2Tl structure, with properties calculated at the GGA-PBE level.

- space group = Fm-3m

abc: 6.031 6.031 6.031
angles: 60.00 60.00 60.00
Atoms (fractional coordinates):
1 Na 0.250 0.250 0.250
2 Na 0.750 0.750 0.750
3 Tl 0.500 0.500 0.500
4 Rb 0.000 0.000 0.000

=====

The least stable of them is B.

=====

## A
Below is a geometry-optimized RbNa2Tl structure, with properties calculated at the GGA-PBE level.

- space group = P4/mmm

abc: 4.300 4.300 8.968
angles: 90.00 90.00 90.00
Atoms (fractional coordinates):
1 Na 0.000 0.000 0.823
2 Na 0.000 0.000 0.177
3 Tl 0.500 0.500 0.000
4 Rb 0.500 0.500 0.500

=====

## B
Below is a geometry-optimized RbNa2Tl structure, with properties calculated at the GGA-PBE level.

- space group = R3m

abc: 5.635 5.635 7.278
angles: 67.23 67.23 60.00
Atoms (fractional coordinates):
1 Rb 0.494 0.494 0.518
2 Na 0.017 0.017 0.950
3 Na 0.294 0.294 0.117
4 Tl 0.695 0.695 0.915

=====

The least stable of them is B.